Compound: Ba2NdAgS4
Source: the Alexandria database
Functional: PBE
Structure: optimized geometry

Unit cell a=7.445 b=4.315 c=7.494 alpha=90.00 beta=110.55 gamma=90.00
Space group P2/m (No. 10)
Unique sites:
Ba: 0.000 0.000 0.000 (multiplicity 1)
Ba: 0.000 0.500 0.500 (multiplicity 1)
Nd: 0.500 0.000 0.500 (multiplicity 1)
Ag: 0.500 0.500 0.000 (multiplicity 1)
S: 0.273 0.500 0.272 (multiplicity 2)
S: 0.283 0.000 0.753 (multiplicity 2)



Compound: BaNdAg2Sb2
Source: the Alexandria database
Functional: PBE
Structure: optimized geometry

Unit cell a=4.8126 b=4.8126 c=8.7117 alpha=90.00 beta=90.00 gamma=120.00
Space group P-3m1 (No. 164)
Unique sites:
Ba: 0.0000 0.0000 0.0000 (multiplicity 1)
Nd: 0.0000 0.0000 0.5000 (multiplicity 1)
Ag: 0.3333 0.6667 0.6956 (multiplicity 2)
Sb: 0.3333 0.6667 0.2665 (multiplicity 2)



Compound: BaNdAg2Se4
Source: the Alexandria database
Functional: PBE
Structure: optimized geometry

Unit cell a=7.415 b=7.415 c=8.487 alpha=90.00 beta=90.00 gamma=90.00
Space group I-42m (No. 121)
Unique sites:
Ba: 0.000 0.000 0.000 (multiplicity 2)
Nd: 0.000 0.000 0.500 (multiplicity 2)
Ag: 0.000 0.500 0.250 (multiplicity 4)
Se: 0.218 0.218 0.290 (multiplicity 8)



no.,electronic total energy (eV/atom),uncorrected formation energy (eV per atom)
1,-5.08,-1.5879
2,-4.16,-0.7193
3,-4.35,-1.0563